The following is a DFT calculation (PBE) of a geometry-optimized Cd3BiPb structure.

Computed properties:
ΔE to the lowest computed polymorph in meV/atom: 0
Energy relative to the elements in eV per atom: 0.05
Space-group type: P2_1/m (11)
Calculated total energy in eV per atom: -2.018

a = 4.7677 Å, b = 11.2568 Å, c = 5.5385 Å
α = 67.69°, β = 90.00°, γ = 90.00°
With the nearest neighbours (Å) after each atom.
Positions (direct):
Bi  0.2500  0.1811  0.1575  7 Cd 3.16-3.44, 2 Pb 3.52
Bi  0.7500  0.8189  0.8425  7 Cd 3.16-3.44, 2 Pb 3.52
Cd  0.7500  0.4194  0.9795  6 Cd 3.01-3.19, 1 Pb 3.18
Cd  0.2500  0.0115  0.7871  4 Bi 3.16-3.29, 2 Cd 3.29, 2 Pb 3.31
Cd  0.7500  0.5686  0.3623  6 Cd 2.93-3.19, 1 Bi 3.17
Cd  0.7500  0.9885  0.2129  4 Bi 3.16-3.29, 2 Cd 3.29, 2 Pb 3.31
Cd  0.2500  0.4314  0.6377  6 Cd 2.93-3.19, 1 Bi 3.17
Cd  0.2500  0.5806  0.0205  6 Cd 3.01-3.19, 1 Pb 3.18
Pb  0.2500  0.7689  0.4223  7 Cd 3.18-3.54, 2 Bi 3.52
Pb  0.7500  0.2311  0.5777  7 Cd 3.18-3.54, 2 Bi 3.52

The following is a DFT calculation (PBE) of a geometry-optimized Cd4Bi2Pb5 structure.

Computed properties:
Energy relative to the elements in eV per atom: 0.10
Space-group type: C2/m (12)
Calculated total energy in eV per atom: -2.625

a = 4.5921 Å, b = 6.6677 Å, c = 11.8483 Å
α = 84.34°, β = 101.17°, γ = 90.00°
With the nearest neighbours (Å) after each atom.
Positions (direct):
Pb  0.7992  0.8498  0.5983  3 Cd 3.21-3.31, 4 Pb 3.31-3.40
Pb  0.5000  0.0000  0.0000  4 Cd 3.20, 4 Bi 3.36
Pb  0.7844  0.3480  0.5688  1 Bi 3.26, 6 Pb 3.31-3.40, 2 Cd 3.60
Pb  0.2156  0.6520  0.4312  1 Bi 3.26, 6 Pb 3.31-3.40, 2 Cd 3.60
Pb  0.2008  0.1502  0.4017  3 Cd 3.21-3.31, 4 Pb 3.31-3.40
Bi  0.0746  0.7120  0.1493  5 Cd 3.16-3.46, 3 Pb 3.26-3.36
Bi  0.9254  0.2880  0.8507  5 Cd 3.16-3.46, 3 Pb 3.26-3.36
Cd  0.0625  0.2333  0.1251  2 Cd 3.03, 2 Bi 3.17-3.23, 3 Pb 3.20-3.21
Cd  0.9375  0.7667  0.8749  2 Cd 3.03, 2 Bi 3.17-3.23, 3 Pb 3.20-3.21
Cd  0.6241  0.4169  0.2482  2 Cd 3.03, 2 Bi 3.16, 2 Pb 3.31
Cd  0.3759  0.5831  0.7518  2 Cd 3.03, 2 Bi 3.16, 2 Pb 3.31

The following is a DFT calculation (PBE) of a geometry-optimized Cd2Bi2Pb15 structure.

Computed properties:
Energy relative to the elements in eV per atom: 0.12
Space-group type: R-3m (166)
Calculated total energy in eV per atom: -3.316

a = 8.8375 Å, b = 8.8375 Å, c = 8.8375 Å
α = 80.96°, β = 80.96°, γ = 80.96°
With the nearest neighbours (Å) after each atom.
Positions (direct):
Pb  0.7052  0.0000  0.2948  8 Pb 3.38-3.68, 2 Cd 3.65
Pb  0.6510  0.1424  0.6510  8 Pb 3.30-3.68, 1 Bi 3.43
Pb  0.0000  0.0000  0.5000  8 Pb 3.30-3.40, 2 Bi 3.60, 2 Cd 3.65
Pb  0.0000  0.2948  0.7052  8 Pb 3.38-3.68, 2 Cd 3.65
Pb  0.2948  0.7052  0.0000  8 Pb 3.38-3.68, 2 Cd 3.65
Pb  0.5000  0.0000  0.0000  8 Pb 3.30-3.40, 2 Bi 3.60, 2 Cd 3.65
Pb  0.3490  0.8576  0.3490  8 Pb 3.30-3.68, 1 Bi 3.43
Pb  0.6510  0.6510  0.1424  8 Pb 3.30-3.68, 1 Bi 3.43
Pb  0.0000  0.5000  0.0000  8 Pb 3.30-3.40, 2 Bi 3.60, 2 Cd 3.65
Pb  0.0000  0.7052  0.2948  8 Pb 3.38-3.68, 2 Cd 3.65
Pb  0.1424  0.6510  0.6510  8 Pb 3.30-3.68, 1 Bi 3.43
Pb  0.8576  0.3490  0.3490  8 Pb 3.30-3.68, 1 Bi 3.43
Pb  0.3490  0.3490  0.8576  8 Pb 3.30-3.68, 1 Bi 3.43
Pb  0.7052  0.2948  0.0000  8 Pb 3.38-3.68, 2 Cd 3.65
Pb  0.2948  0.0000  0.7052  8 Pb 3.38-3.68, 2 Cd 3.65
Bi  0.2466  0.2466  0.2466  1 Cd 2.94
Bi  0.7534  0.7534  0.7534  1 Cd 2.94
Cd  0.0788  0.0788  0.0788  1 Cd 2.77, 1 Bi 2.94
Cd  0.9212  0.9212  0.9212  1 Cd 2.77, 1 Bi 2.94

The following is a DFT calculation (PBE) of a geometry-optimized CdBiPb3 structure.

Computed properties:
ΔE to the lowest computed polymorph in meV/atom: 0
Energy relative to the elements in eV per atom: 0.03
Space-group type: P-1 (2)
Calculated total energy in eV per atom: -3.154

a = 9.0655 Å, b = 9.2919 Å, c = 7.4779 Å
α = 55.99°, β = 50.56°, γ = 39.18°
With the nearest neighbours (Å) after each atom.
Positions (direct):
Pb  0.3385  0.1018  0.7514  3 Cd 3.32-3.71, 7 Pb 3.42-3.63, 2 Bi 3.49
Pb  0.9696  0.7008  0.7335  3 Bi 3.39-3.48, 2 Cd 3.44-3.45, 6 Pb 3.51-3.63
Pb  0.7298  0.5102  0.7699  6 Pb 3.39-3.55, 3 Cd 3.42-3.57, 2 Bi 3.45-3.53
Pb  0.2702  0.4898  0.2301  6 Pb 3.39-3.55, 3 Cd 3.42-3.57, 2 Bi 3.45-3.53
Pb  0.0304  0.2992  0.2665  3 Bi 3.39-3.48, 2 Cd 3.44-3.45, 6 Pb 3.51-3.63
Pb  0.6615  0.8982  0.2486  3 Cd 3.32-3.71, 7 Pb 3.42-3.63, 2 Bi 3.49
Cd  0.8617  0.0881  0.2369  1 Cd 3.22, 7 Pb 3.32-3.57, 2 Bi 3.37-3.42
Cd  0.1383  0.9119  0.7632  1 Cd 3.22, 7 Pb 3.32-3.57, 2 Bi 3.37-3.42
Bi  0.4256  0.7211  0.2648  2 Cd 3.37-3.42, 7 Pb 3.39-3.53, 1 Bi 3.51
Bi  0.5744  0.2789  0.7352  2 Cd 3.37-3.42, 7 Pb 3.39-3.53, 1 Bi 3.51

The following is a DFT calculation (PBE) of a geometry-optimized CdBi2Pb structure.

Computed properties:
Energy relative to the elements in eV per atom: 0.07
Space-group type: Imma (74)
Calculated total energy in eV per atom: -3.024

a = 10.0234 Å, b = 7.0202 Å, c = 7.0202 Å
α = 59.36°, β = 44.45°, γ = 44.45°
With the nearest neighbours (Å) after each atom.
Positions (direct):
Bi  0.2479  0.7521  0.2521  4 Bi 3.45-3.51, 4 Cd 3.49-3.54, 4 Pb 3.49-3.53
Bi  0.7521  0.2479  0.7479  4 Bi 3.45-3.51, 4 Cd 3.49-3.54, 4 Pb 3.49-3.53
Bi  0.2521  0.2479  0.7479  4 Bi 3.45-3.51, 4 Cd 3.49-3.54, 4 Pb 3.49-3.53
Bi  0.7479  0.7521  0.2521  4 Bi 3.45-3.51, 4 Cd 3.49-3.54, 4 Pb 3.49-3.53
Cd  0.2500  0.7551  0.7449  2 Pb 3.45-3.50, 2 Cd 3.48, 8 Bi 3.49-3.54
Cd  0.7500  0.2449  0.2551  2 Pb 3.45-3.50, 2 Cd 3.48, 8 Bi 3.49-3.54
Pb  0.7500  0.7412  0.7588  2 Cd 3.45-3.50, 2 Pb 3.48, 8 Bi 3.49-3.53
Pb  0.2500  0.2588  0.2412  2 Cd 3.45-3.50, 2 Pb 3.48, 8 Bi 3.49-3.53

The following is a DFT calculation (PBE) of a geometry-optimized Cd2Bi2Pb3 structure.

Computed properties:
Energy relative to the elements in eV per atom: 0.05
Space-group type: Cmmm (65)
Calculated total energy in eV per atom: -2.906

a = 3.4825 Å, b = 4.5968 Å, c = 13.3833 Å
α = 80.11°, β = 90.00°, γ = 90.00°
With the nearest neighbours (Å) after each atom.
Positions (direct):
Pb  0.0000  0.0000  0.0000  10 Pb 3.48-3.50, 2 Cd 3.73
Pb  0.5000  0.5750  0.8501  4 Cd 3.38, 1 Bi 3.43, 6 Pb 3.48-3.50
Pb  0.5000  0.4250  0.1499  4 Cd 3.38, 1 Bi 3.43, 6 Pb 3.48-3.50
Cd  0.0000  0.1416  0.7168  4 Bi 3.33, 4 Pb 3.38, 2 Cd 3.48
Cd  0.0000  0.8584  0.2832  4 Bi 3.33, 4 Pb 3.38, 2 Cd 3.48
Bi  0.5000  0.7050  0.5900  4 Bi 3.30-3.48, 4 Cd 3.33, 1 Pb 3.43
Bi  0.5000  0.2950  0.4100  4 Bi 3.30-3.48, 4 Cd 3.33, 1 Pb 3.43

Question: Which value of energy relative to the elements does entry 2 give?
Answer: 0.10 eV per atom